# Ta2MnZn, relaxed, DFT PBE
# DFT total energy: -8.445 eV/atom
# Energy of formation: 0.093 eV/atom
# Mass density: 12.35 g/cm³
data_Ta2MnZn
_chemical_formula_sum 'Ta4 Mn2 Zn2'
_cell_length_a 3.6225
_cell_length_b 4.2892
_cell_length_c 8.3468
_cell_angle_alpha 90.00
_cell_angle_beta 90.00
_cell_angle_gamma 90.00
_symmetry_space_group_name_H-M 'C m m 2'
_symmetry_Int_Tables_number 35
_symmetry_space_group_name_Hall 'C 2 -2'
loop_
_atom_site_label
_atom_site_fract_x
_atom_site_fract_y
_atom_site_fract_z
Ta1 0.0000 0.0000 0.0000
Ta2 0.0000 0.5000 0.2788
Mn1 0.0000 0.0000 0.5214
Zn1 0.0000 0.5000 0.7451